The following is a PBE calculation of an optimized crystal structure of PmBi2Pd9, from Alexandria via LeMat-Bulk.

Cell and atoms, written as extended XYZ:
```
12
Lattice="2.6872 1.5515 9.1286 -2.6872 1.5515 9.1286 0.0000 -3.1029 9.1286" Properties=species:S:1:pos:R:3 pbc="T T T"
Pm 0.0000 0.0000 0.0000
Bi 0.0000 0.0000 3.5984
Bi 0.0000 0.0000 23.7874
Pd -1.3483 -0.7784 11.4165
Pd 0.0000 0.0000 9.1297
Pd 0.0000 -1.5569 15.9694
Pd -1.3483 0.7784 15.9694
Pd 0.0000 0.0000 13.6929
Pd 1.3483 -0.7784 11.4165
Pd 0.0000 1.5569 11.4165
Pd 0.0000 0.0000 18.2562
Pd 1.3483 0.7784 15.9694
```

Summary:
Its energy of formation is -0.32 eV per atom. As for the symmetry: R-3m, No. 166. Its polymorph energy (0 for the lowest one) is 100 meV per atom. As for the density of states at the Fermi level: 0.6264 states/eV/atom.

The following is a PBE calculation of an optimized crystal structure of PmPaTl2O6, from Alexandria via LeMat-Bulk.

Cell and atoms, written as extended XYZ:
```
10
Lattice="5.2451 -3.1680 0.0000 5.2451 3.1680 0.0000 -3.4831 0.0000 4.9827" Properties=species:S:1:pos:R:3 pbc="T T T"
Pm 0.0000 0.0000 0.0000
Pa 3.5035 0.0000 2.4913
Tl 0.1009 0.0000 3.5793
Tl 6.9061 0.0000 1.4034
O 2.1433 1.5468 3.3036
O 2.3073 0.0000 0.6612
O 4.8638 1.5468 1.6791
O 2.1433 -1.5468 3.3036
O 4.6997 0.0000 4.3215
O 4.8638 -1.5468 1.6791
```

Summary:
The value obtained for the uncorrected formation energy is -2.243 eV/atom. As for the symmetry: C2/m, No. 12. As for the density of states at the Fermi level: 0.4791 states/eV/atom.

The following is a PBE calculation of an optimized crystal structure of TcSn3, from Alexandria via LeMat-Bulk.

Cell and atoms, written as extended XYZ:
```
4
Lattice="-1.6950 4.2430 3.0996 1.6950 -4.2430 3.0996 1.6950 4.2430 -3.0996" Properties=species:S:1:pos:R:3 pbc="T T T"
Tc 0.0000 0.0000 0.0000
Sn 1.6950 -1.6056 1.6166
Sn 1.6950 1.6056 1.6166
Sn 0.0000 4.2430 0.9993
```

Summary:
Its energy of formation is 0.07 eV per atom. As for the symmetry: Imm2, No. 44. Its polymorph energy (0 for the lowest one) is 53 meV per atom. As for the density of states at the Fermi level: 0.5111 states/eV/atom.

The following is a PBE calculation of an optimized crystal structure of FeTc2H, from Alexandria via LeMat-Bulk.

Cell and atoms, written as extended XYZ:
```
4
Lattice="0.0000 2.8285 2.8285 2.8285 0.0000 2.8285 2.8285 2.8285 0.0000" Properties=species:S:1:pos:R:3 pbc="T T T"
Fe 0.0000 0.0000 0.0000
Tc 1.4143 1.4143 1.4143
Tc 4.2428 4.2428 4.2428
H 2.8285 2.8285 2.8285
```

Summary:
As for the symmetry: Fm-3m, No. 225. Its polymorph energy (0 for the lowest one) is 301 meV per atom. As for the density of states at the Fermi level: 1.1721 states/eV/atom.